This record from Alexandria via LeMat-Bulk describes an optimized crystal structure of Rb2LiIn3Bi4. The functional is GGA-PBE.

Space-group type: P-4m2, No. 115
Spin magnetization (μB/atom): 0.000
Density of states at the Fermi level (states/eV/f.u.): 4.42
ΔH_f (0 K) (eV/f.u.): -2.3

Lattice parameters (Å, degrees): 5.137 5.137 13.525 90.00 90.00 90.00
Fractional coordinates of all 10 atoms:
Bi (0.000, 0.000, 0.000)
In (0.500, 0.000, 0.857)
Li (0.500, 0.500, 0.500)
Rb (0.000, 0.500, 0.741)
Rb (0.500, 0.000, 0.259)
Bi (0.500, 0.000, 0.625)
Bi (0.000, 0.500, 0.375)
In (0.000, 0.000, 0.500)
In (0.000, 0.500, 0.143)
Bi (0.500, 0.500, 0.000)